# TaTiNi3, relaxed, DFT PBE
data_TaTiNi3
_chemical_formula_sum 'Ta2 Ti2 Ni6'
_cell_length_a 4.421
_cell_length_b 4.499
_cell_length_c 8.298
_cell_angle_alpha 120.90
_cell_angle_beta 105.45
_cell_angle_gamma 90.00
_symmetry_space_group_name_H-M 'P 1'
_symmetry_Int_Tables_number 1
loop_
_symmetry_equiv_pos_as_xyz
'x,y,z'
loop_
_atom_site_label
_atom_site_type_symbol
_atom_site_fract_x
_atom_site_fract_y
_atom_site_fract_z
Ta1 Ta 0.855 0.980 0.709
Ta2 Ta 0.145 0.020 0.291
Ti1 Ti 0.636 0.521 0.272
Ti2 Ti 0.364 0.479 0.728
Ni1 Ni 0.952 0.663 0.903
Ni2 Ni 0.048 0.337 0.097
Ni3 Ni 0.447 0.139 0.894
Ni4 Ni 0.553 0.861 0.106
Ni5 Ni 0.247 0.690 0.493
Ni6 Ni 0.753 0.310 0.507
# - VASP energy: -77.45 eV/cell
# - E_form: -0.3262 eV/atom